1.
Here is an optimized crystal structure of DyNi2P from Alexandria via LeMat-Bulk. Energies are from GGA-PBE.

Lattice parameters (Å, degrees): 3.7317 3.7317 8.7920 90.00 90.00 90.00
Closest atoms and distances in Å follow each position.
Fractional positions:
Ni1 0.0000 0.5000 0.0879  1 P 2.29
Ni2 0.0000 0.0000 0.5000  4 P 2.29
Ni3 0.5000 0.0000 0.9121  1 P 2.29
Ni4 0.5000 0.5000 0.5000  4 P 2.29
Dy1 0.5000 0.0000 0.2246  9 Ni 2.75-3.06, 4 P 2.86
P1 0.0000 0.5000 0.3488  5 Ni 2.29
Dy2 0.0000 0.5000 0.7754  9 Ni 2.75-3.06, 4 P 2.86
P2 0.5000 0.0000 0.6512  5 Ni 2.29

ΔE_f: -0.77 eV per atom
SG: No. 129
Crystal system: tetragonal

---

2.
Here is an optimized crystal structure of TaCuSi from Alexandria via LeMat-Bulk. Energies are from GGA-PBE.

Lattice parameters (Å, degrees): 3.6621 6.3427 10.9998 89.02 90.00 90.00
Closest atoms and distances in Å follow each position.
Fractional positions:
Si1 0.2500 0.7316 0.2489  3 Cu 2.37-2.40
Si2 0.7500 0.2287 0.0836  5 Cu 2.38-2.41, 2 Ta 2.58-2.62
Si3 0.2500 0.2302 0.4168  4 Cu 2.37-2.49, 4 Ta 2.62-2.63
Ta1 0.2500 0.4785 0.6146  5 Si 2.62-2.71, 5 Cu 2.86-2.91
Cu1 0.2500 0.3631 0.2023  4 Si 2.40-2.49
Ta2 0.2500 0.9689 0.7092  5 Si 2.58-2.68, 4 Cu 2.81-2.88
Cu2 0.7500 0.0109 0.9099  4 Si 2.37-2.38
Ta3 0.2500 0.3582 0.9212  5 Si 2.62-2.69, 4 Cu 2.87
Si4 0.7500 0.7698 0.5832  4 Cu 2.37-2.49, 4 Ta 2.62-2.63
Cu3 0.7500 0.1548 0.5466  4 Si 2.37-2.47
Ta4 0.7500 0.5215 0.3854  5 Si 2.62-2.71, 5 Cu 2.86-2.91
Ta5 0.7500 0.6418 0.0788  5 Si 2.62-2.69, 4 Cu 2.87
Cu4 0.7500 0.6369 0.7977  4 Si 2.40-2.49
Si5 0.7500 0.2684 0.7511  3 Cu 2.37-2.40
Cu5 0.2500 0.8452 0.4534  4 Si 2.37-2.47
Cu6 0.2500 0.9891 0.0901  4 Si 2.37-2.38
Ta6 0.7500 0.0311 0.2908  5 Si 2.58-2.68, 4 Cu 2.81-2.88
Si6 0.2500 0.7713 0.9164  5 Cu 2.38-2.41, 2 Ta 2.58-2.62

SG: No. 11
Crystal system: monoclinic
Formation energy without anion corrections: -0.313 eV/atom